(1)
Cs2K4Rb (PBE-GGA, optimized geometry); ΔE_f = 0.148 eV per atom; energy relative to the lowest polymorph listed for this composition = 12.4 kJ/mol of atoms
1.0
7.712 0.000 0.000
0.000 7.712 0.000
0.000 0.000 24.389
Cs K Rb
4 8 2
direct
0.000 0.000 0.129 Cs
0.000 0.000 0.871 Cs
0.500 0.500 0.371 Cs
0.500 0.500 0.629 Cs
0.000 0.000 0.321 K
0.000 0.000 0.679 K
0.000 0.500 0.000 K
0.000 0.500 0.500 K
0.500 0.000 0.000 K
0.500 0.000 0.500 K
0.500 0.500 0.179 K
0.500 0.500 0.821 K
0.000 0.000 0.500 Rb
0.500 0.500 0.000 Rb

---

(2)
Cs4KRb15 (PBE-GGA, optimized geometry); ΔE_f = 0.003 eV per atom
1.0
7.336 0.000 0.000
0.000 7.336 0.000
0.000 0.000 35.184
Cs K Rb
4 1 15
direct
0.000 0.000 0.101 Cs
0.000 0.000 0.304 Cs
0.000 0.000 0.696 Cs
0.000 0.000 0.899 Cs
0.000 0.000 0.500 K
0.000 0.500 0.000 Rb
0.000 0.500 0.203 Rb
0.000 0.500 0.407 Rb
0.000 0.500 0.593 Rb
0.000 0.500 0.797 Rb
0.500 0.000 0.000 Rb
0.500 0.000 0.203 Rb
0.500 0.000 0.407 Rb
0.500 0.000 0.593 Rb
0.500 0.000 0.797 Rb
0.500 0.500 0.101 Rb
0.500 0.500 0.304 Rb
0.500 0.500 0.500 Rb
0.500 0.500 0.696 Rb
0.500 0.500 0.899 Rb

---

(3)
CsK5Rb7 (PBE-GGA, optimized geometry); ΔE_f = 0.022 eV per atom
1.0
9.261 -8.394 0.000
9.261 8.394 0.000
-3.348 0.000 7.203
Cs K Rb
1 5 7
direct
0.000 0.000 0.000 Cs
0.209 0.209 0.711 K
0.419 0.998 0.145 K
0.572 0.998 0.721 K
0.998 0.419 0.145 K
0.998 0.572 0.721 K
0.206 0.795 0.495 Rb
0.361 0.361 0.381 Rb
0.362 0.628 0.012 Rb
0.628 0.362 0.012 Rb
0.629 0.629 0.644 Rb
0.787 0.787 0.281 Rb
0.795 0.206 0.495 Rb